Entry 1:
## LaErAs (PBE-GGA)

Data for crystalline LaErAs at its relaxed geometry.

Lattice parameters (Å, degrees): 4.9417 4.9417 4.9417 60.00 60.00 60.00
With the nearest neighbours (Å) after each atom.
Positions (direct):
La  0.0000  0.0000  0.0000  4 As 3.03
Er  0.5000  0.5000  0.5000  4 As 3.03
As  0.7500  0.7500  0.7500  4 La 3.03, 4 Er 3.03

Output
Calculated volume ... 28.44 A^3/atom
Energy above the lowest structure with this stoichiometry ... 0.000 eV/atom
Space-group type ... F-43m
E ... -5.479 eV/atom

Entry 2:
## Re2AsPt (PBE-GGA)

Data for crystalline Re2AsPt at its relaxed geometry.

Lattice parameters (Å, degrees): 4.4576 4.4576 4.4576 60.00 60.00 60.00
With the nearest neighbours (Å) after each atom.
Positions (direct):
Re  0.0000  0.0000  0.0000  4 Re 2.73, 4 Pt 2.73
Re  0.2500  0.2500  0.2500  4 As 2.73, 4 Re 2.73
As  0.5000  0.5000  0.5000  4 Re 2.73, 4 Pt 2.73
Pt  0.7500  0.7500  0.7500  4 As 2.73, 4 Re 2.73

Output
Calculated volume ... 15.66 A^3/atom
Space-group type ... F-43m
E ... -8.301 eV/atom

Entry 3:
## Ta2Fe3Mo4C3 (PBE-GGA)

Data for crystalline Ta2Fe3Mo4C3 at its relaxed geometry.

Lattice parameters (Å, degrees): 5.2184 5.2184 13.4100 101.38 101.38 59.93
With the nearest neighbours (Å) after each atom.
Positions (direct):
Ta  0.0386  0.8707  0.6133  3 C 2.22-2.28
Ta  0.1293  0.9614  0.8867  3 C 2.22-2.28
Ta  0.8707  0.0386  0.1133  3 C 2.22-2.28
Ta  0.9614  0.1293  0.3867  3 C 2.22-2.28
Fe  0.0850  0.4077  0.7500  4 Mo 2.60-2.61, 4 Fe 2.60-2.62
Fe  0.4077  0.0850  0.2500  4 Mo 2.60-2.61, 4 Fe 2.60-2.62
Fe  0.4202  0.5798  0.2500  4 Fe 2.60-2.62, 4 Mo 2.61
Fe  0.5798  0.4202  0.7500  4 Fe 2.60-2.62, 4 Mo 2.61
Fe  0.5923  0.9150  0.7500  4 Mo 2.60-2.61, 4 Fe 2.60-2.62
Fe  0.9150  0.5923  0.2500  4 Mo 2.60-2.61, 4 Fe 2.60-2.62
Mo  0.1946  0.3615  0.0870  3 C 2.07-2.15
Mo  0.3027  0.4734  0.4130  3 C 2.07-2.15
Mo  0.3615  0.1946  0.5870  3 C 2.07-2.15
Mo  0.4734  0.3027  0.9130  3 C 2.07-2.15
Mo  0.5266  0.6973  0.0870  3 C 2.07-2.15
Mo  0.6385  0.8054  0.4130  3 C 2.07-2.15
Mo  0.6973  0.5266  0.5870  3 C 2.07-2.15
Mo  0.8054  0.6385  0.9130  3 C 2.07-2.15
C  0.0000  0.5000  0.5000  4 Mo 2.08, 2 Ta 2.28
C  0.1563  0.6872  0.0000  4 Mo 2.07-2.15, 2 Ta 2.22
C  0.3128  0.8437  0.5000  4 Mo 2.07-2.15, 2 Ta 2.22
C  0.5000  0.0000  0.0000  4 Mo 2.08, 2 Ta 2.28
C  0.6872  0.1563  0.5000  4 Mo 2.07-2.15, 2 Ta 2.22
C  0.8437  0.3128  0.0000  4 Mo 2.07-2.15, 2 Ta 2.22

Output
Calculated volume ... 12.82 A^3/atom
Space-group type ... C2/c
E ... -10.021 eV/atom

Entry 4:
## CsNaOs (PBE-GGA)

Data for crystalline CsNaOs at its relaxed geometry.

Lattice parameters (Å, degrees): 5.3178 5.3178 5.3178 60.00 60.00 60.00
With the nearest neighbours (Å) after each atom.
Positions (direct):
Cs  0.0000  0.0000  0.0000  4 Na 3.26, 4 Os 3.26
Na  0.7500  0.7500  0.7500  4 Cs 3.26
Os  0.2500  0.2500  0.2500  4 Cs 3.26

Output
Calculated volume ... 35.45 A^3/atom
Energy above the lowest structure with this stoichiometry ... 0.262 eV/atom
Space-group type ... F-43m
E ... -2.462 eV/atom

Entry 5:
## La2Ho (PBE-GGA)

Data for crystalline La2Ho at its relaxed geometry.

Lattice parameters (Å, degrees): 6.7031 6.7031 6.7031 60.00 60.00 60.00
With the nearest neighbours (Å) after each atom.
Positions (direct):
La  0.0000  0.0000  0.0000  6 La 3.35
La  0.0000  0.0000  0.5000  6 La 3.35
La  0.0000  0.5000  0.0000  6 La 3.35
La  0.5000  0.0000  0.0000  6 La 3.35
Ho  0.3750  0.3750  0.3750  12 La 3.93, 4 Ho 4.10
Ho  0.6250  0.6250  0.6250  12 La 3.93, 4 Ho 4.10

Output
Calculated volume ... 35.49 A^3/atom
ΔE_f ... 0.7 eV/f.u.
Space-group type ... Fd-3m
E ... -4.563 eV/atom

Entry 6:
## K2HgC4S4N4 (PBE-GGA)

Data for crystalline K2HgC4S4N4 at its relaxed geometry.

Lattice parameters (Å, degrees): 7.1490 7.1490 13.2373 102.35 102.35 81.48
With the nearest neighbours (Å) after each atom.
Positions (direct):
K  0.1127  0.2097  0.4331  4 N 2.81-2.99
K  0.2097  0.1127  0.9331  4 N 2.81-2.99
K  0.7903  0.8873  0.0669  4 N 2.81-2.99
K  0.8873  0.7903  0.5669  4 N 2.81-2.99
Hg  0.4803  0.5197  0.2500  4 S 2.59-2.61
Hg  0.5197  0.4803  0.7500  4 S 2.59-2.61
C  0.1437  0.2461  0.6950  1 N 1.18
C  0.2461  0.1437  0.1950  1 N 1.18
C  0.3082  0.6699  0.4619  1 N 1.18
C  0.3301  0.6918  0.0381  1 N 1.18
C  0.6699  0.3082  0.9619  1 N 1.18
C  0.6918  0.3301  0.5381  1 N 1.18
C  0.7539  0.8563  0.8050  1 N 1.18
C  0.8563  0.7539  0.3050  1 N 1.18
S  0.1767  0.4538  0.7760  1 C 1.65
S  0.2043  0.5776  0.0919  1 C 1.65
S  0.4224  0.7957  0.4081  1 C 1.65
S  0.4538  0.1767  0.2760  1 C 1.65
S  0.5462  0.8233  0.7240  1 C 1.65
S  0.5776  0.2043  0.5919  1 C 1.65
S  0.7957  0.4224  0.9081  1 C 1.65
S  0.8233  0.5462  0.2240  1 C 1.65
N  0.0968  0.1156  0.1383  1 C 1.18
N  0.1156  0.0968  0.6383  1 C 1.18
N  0.2244  0.5839  0.5017  1 C 1.18
N  0.4161  0.7756  0.9983  1 C 1.18
N  0.5839  0.2244  0.0017  1 C 1.18
N  0.7756  0.4161  0.4983  1 C 1.18
N  0.8844  0.9032  0.3617  1 C 1.18
N  0.9032  0.8844  0.8617  1 C 1.18

Output
Calculated volume ... 21.40 A^3/atom
Space-group type ... C2/c
E ... -6.055 eV/atom

Entry 7:
## MgHgSeO (PBE-GGA)

Data for crystalline MgHgSeO at its relaxed geometry.

Lattice parameters (Å, degrees): 6.5743 6.5743 6.0653 90.00 90.00 145.90
With the nearest neighbours (Å) after each atom.
Positions (direct):
Mg  0.0946  0.9054  0.7500  2 O 1.93
Mg  0.9054  0.0946  0.2500  2 O 1.93
Hg  0.3972  0.6028  0.7500  4 O 2.77, 2 Se 2.83
Hg  0.6028  0.3972  0.2500  4 O 2.77, 2 Se 2.83
Se  0.2672  0.7328  0.2500  2 Mg 2.59, 2 Hg 2.83
Se  0.7328  0.2672  0.7500  2 Mg 2.59, 2 Hg 2.83
O  0.0000  0.0000  0.0000  2 Mg 1.93
O  0.0000  0.0000  0.5000  2 Mg 1.93

Output
Calculated volume ... 18.37 A^3/atom
Energy above the lowest structure with this stoichiometry ... 0.420 eV/atom
Space-group type ... Cmcm
E ... -3.343 eV/atom

Entry 8:
## SrCdSO (PBE-GGA)

Data for crystalline SrCdSO at its relaxed geometry.

Lattice parameters (Å, degrees): 7.2305 7.2305 5.9953 90.00 90.00 150.37
With the nearest neighbours (Å) after each atom.
Positions (direct):
Sr  0.1430  0.8570  0.7500  2 O 2.50
Sr  0.8570  0.1430  0.2500  2 O 2.50
Cd  0.4307  0.5693  0.7500  4 O 2.57, 2 S 2.62
Cd  0.5693  0.4307  0.2500  4 O 2.57, 2 S 2.62
S  0.2021  0.7979  0.2500  2 Cd 2.62, 2 Sr 2.85
S  0.7979  0.2021  0.7500  2 Cd 2.62, 2 Sr 2.85
O  0.0000  0.0000  0.0000  2 Sr 2.50, 4 Cd 2.57
O  0.0000  0.0000  0.5000  2 Sr 2.50, 4 Cd 2.57

Output
Calculated volume ... 19.37 A^3/atom
Space-group type ... Cmcm
E ... -4.206 eV/atom

Entry 9:
## LiLuTlNi (PBE-GGA)

Data for crystalline LiLuTlNi at its relaxed geometry.

Lattice parameters (Å, degrees): 4.6509 4.6509 4.6509 60.00 60.00 60.00
With the nearest neighbours (Å) after each atom.
Positions (direct):
Li  0.0000  0.0000  0.0000  4 Tl 2.85, 4 Lu 2.85
Lu  0.7500  0.7500  0.7500  4 Li 2.85, 4 Ni 2.85
Tl  0.2500  0.2500  0.2500  4 Li 2.85, 4 Ni 2.85
Ni  0.5000  0.5000  0.5000  4 Tl 2.85, 4 Lu 2.85

Output
Calculated volume ... 17.78 A^3/atom
Energy above the lowest structure with this stoichiometry ... 0.000 eV/atom
Space-group type ... F-43m
E ... -3.855 eV/atom

Entry 10:
## LaTmPt (PBE-GGA)

Data for crystalline LaTmPt at its relaxed geometry.

Lattice parameters (Å, degrees): 4.7941 4.7941 4.7941 60.00 60.00 60.00
With the nearest neighbours (Å) after each atom.
Positions (direct):
La  0.0000  0.0000  0.0000  4 Tm 2.94
Tm  0.2500  0.2500  0.2500  4 La 2.94, 4 Pt 2.94
Pt  0.5000  0.5000  0.5000  4 Tm 2.94

Output
Calculated volume ... 25.97 A^3/atom
ΔE_f ... -0.7 eV/f.u.
Space-group type ... F-43m
E ... -5.371 eV/atom

Entry 11:
## LiHfBiOs (PBE-GGA)

Data for crystalline LiHfBiOs at its relaxed geometry.

Lattice parameters (Å, degrees): 4.6428 4.6428 4.6428 60.00 60.00 60.00
With the nearest neighbours (Å) after each atom.
Positions (direct):
Li  0.0000  0.0000  0.0000  4 Bi 2.84, 4 Hf 2.84
Hf  0.2500  0.2500  0.2500  4 Li 2.84, 4 Os 2.84
Bi  0.7500  0.7500  0.7500  4 Li 2.84, 4 Os 2.84
Os  0.5000  0.5000  0.5000  4 Bi 2.84, 4 Hf 2.84

Output
Calculated volume ... 17.69 A^3/atom
Energy above the lowest structure with this stoichiometry ... 0.000 eV/atom
Space-group type ... F-43m
E ... -6.967 eV/atom

Entry 12:
## Mg3Ag2 (PBE-GGA)

Data for crystalline Mg3Ag2 at its relaxed geometry.

Lattice parameters (Å, degrees): 7.3761 7.3761 7.3761 49.18 49.18 49.18
With the nearest neighbours (Å) after each atom.
Positions (direct):
Mg  0.1691  0.7500  0.3309  4 Ag 2.66-2.89
Mg  0.2500  0.6691  0.8309  4 Ag 2.66-2.89
Mg  0.3309  0.1691  0.7500  4 Ag 2.66-2.89
Mg  0.6691  0.8309  0.2500  4 Ag 2.66-2.89
Mg  0.7500  0.3309  0.1691  4 Ag 2.66-2.89
Mg  0.8309  0.2500  0.6691  4 Ag 2.66-2.89
Ag  0.1820  0.1820  0.1820  1 Ag 2.64, 6 Mg 2.66-2.89
Ag  0.3180  0.3180  0.3180  1 Ag 2.64, 6 Mg 2.66-2.89
Ag  0.6820  0.6820  0.6820  1 Ag 2.64, 6 Mg 2.66-2.89
Ag  0.8180  0.8180  0.8180  1 Ag 2.64, 6 Mg 2.66-2.89

Output
Calculated volume ... 21.11 A^3/atom
Energy above the lowest structure with this stoichiometry ... 0.138 eV/atom
Space-group type ... R-3c
E ... -2.069 eV/atom